A relaxed Cu2RhBr crystal, computed with GGA-PBE.

Cell lengths 4.9847, 4.9847, 4.9847 Å; angles 135.31, 135.31, 65.05 degrees
Last column: nearest neighbours and their distance in Å.
Fractional coordinates of all 4 atoms:
Cu: 0.2500 0.7500 0.5000  4 Cu 2.68, 4 Br 2.83, 4 Rh 2.83
Cu: 0.7500 0.2500 0.5000  4 Cu 2.68, 4 Br 2.83, 4 Rh 2.83
Rh: 0.0000 0.0000 0.0000  4 Br 2.68, 8 Cu 2.83
Br: 0.5000 0.5000 0.0000  4 Rh 2.68, 8 Cu 2.83

Values from the calculation:
Its space group is I4/mmm (139). The calculation puts the excess energy over the best structure of this formula in the dataset at 239 meV/atom.



A relaxed Cu2RhBr crystal, computed with GGA-PBE.

Cell lengths 3.1477, 4.3419, 4.4059 Å; angles 90.00, 90.00, 90.00 degrees
Last column: nearest neighbours and their distance in Å.
Fractional coordinates of all 4 atoms:
Cu: 0.0000 0.0000 0.0000  4 Cu 2.68, 4 Br 2.71
Cu: 0.5000 0.5000 0.0000  4 Cu 2.68, 4 Rh 2.71
Rh: 0.0000 0.5000 0.5000  4 Br 2.68, 4 Cu 2.71
Br: 0.5000 0.0000 0.5000  4 Rh 2.68, 4 Cu 2.71

Values from the calculation:
Its space group is Pmmm (47). The calculation puts the excess energy over the best structure of this formula in the dataset at 189 meV/atom.



A relaxed Cu2RhBr6 crystal, computed with GGA-PBE.

Cell lengths 9.2531, 9.2531, 6.5275 Å; angles 94.39, 94.39, 77.06 degrees
Last column: nearest neighbours and their distance in Å.
Fractional coordinates of all 18 atoms:
Cu: 0.0165 0.1871 0.2744  3 Br 2.31-2.36
Cu: 0.1871 0.0165 0.7744  3 Br 2.31-2.36
Cu: 0.8129 0.9835 0.2256  3 Br 2.31-2.36
Cu: 0.9835 0.8129 0.7256  3 Br 2.31-2.36
Rh: 0.4185 0.5815 0.7500  6 Br 2.51-2.53
Rh: 0.5815 0.4185 0.2500  6 Br 2.51-2.53
Br: 0.0290 0.2207 0.6362  2 Cu 2.31-2.36
Br: 0.1624 0.6259 0.8786  1 Cu 2.34, 1 Rh 2.51
Br: 0.2207 0.0290 0.1362  2 Cu 2.31-2.36
Br: 0.3323 0.4755 0.4072  2 Rh 2.52-2.53
Br: 0.3741 0.8376 0.6214  1 Cu 2.34, 1 Rh 2.51
Br: 0.4755 0.3323 0.9072  2 Rh 2.52-2.53
Br: 0.5245 0.6677 0.0928  2 Rh 2.52-2.53
Br: 0.6259 0.1624 0.3786  1 Cu 2.34, 1 Rh 2.51
Br: 0.6677 0.5245 0.5928  2 Rh 2.52-2.53
Br: 0.7793 0.9710 0.8638  2 Cu 2.31-2.36
Br: 0.8376 0.3741 0.1214  1 Cu 2.34, 1 Rh 2.51
Br: 0.9710 0.7793 0.3638  2 Cu 2.31-2.36

Values from the calculation:
Its space group is C2/c (15). The calculation puts the excess energy over the best structure of this formula in the dataset at 3 meV/atom.



A relaxed Cu2RhBr crystal, computed with GGA-PBE.

Cell lengths 4.9008, 4.9008, 4.9008 Å; angles 133.94, 133.94, 67.19 degrees
Last column: nearest neighbours and their distance in Å.
Fractional coordinates of all 4 atoms:
Cu: 0.0000 0.0000 0.0000  4 Br 2.71, 4 Rh 2.80, 4 Cu 2.80
Cu: 0.7500 0.2500 0.5000  4 Rh 2.71, 4 Br 2.80, 4 Cu 2.80
Rh: 0.2500 0.7500 0.5000  8 Cu 2.71-2.80, 4 Br 2.80
Br: 0.5000 0.5000 0.0000  8 Cu 2.71-2.80, 4 Rh 2.80

Values from the calculation:
Its space group is I-4m2 (119). The calculation puts the excess energy over the best structure of this formula in the dataset at 236 meV/atom.



A relaxed Cu2RhBr crystal, computed with GGA-PBE.

Cell lengths 5.6211, 5.6211, 5.6211 Å; angles 101.80, 101.80, 126.22 degrees
Last column: nearest neighbours and their distance in Å.
Fractional coordinates of all 8 atoms:
Cu: 0.1221 0.6250 0.9971  2 Cu 2.54, 2 Br 2.57, 2 Rh 2.60
Cu: 0.3750 0.3721 0.4971  2 Cu 2.54, 2 Br 2.57, 2 Rh 2.60
Cu: 0.6279 0.1250 0.0029  2 Cu 2.54, 2 Br 2.57, 2 Rh 2.60
Cu: 0.8750 0.8779 0.5029  2 Cu 2.54, 2 Br 2.57, 2 Rh 2.60
Rh: 0.2500 0.7500 0.5000  2 Br 2.54, 4 Cu 2.60
Rh: 0.5000 0.5000 0.0000  2 Br 2.54, 4 Cu 2.60
Br: 0.0000 0.0000 0.0000  2 Rh 2.54, 4 Cu 2.57
Br: 0.7500 0.2500 0.5000  2 Rh 2.54, 4 Cu 2.57

Values from the calculation:
Its space group is I-42d (122). The calculation puts the excess energy over the best structure of this formula in the dataset at 212 meV/atom.



A relaxed CuRh2Br6 crystal, computed with GGA-PBE.

Cell lengths 6.8301, 6.8301, 10.9995 Å; angles 116.14, 116.14, 32.43 degrees
Last column: nearest neighbours and their distance in Å.
Fractional coordinates of all 9 atoms:
Cu: 0.0000 0.0000 0.0000  6 Br 2.62-2.81
Rh: 0.3378 0.3378 0.6632  6 Br 2.49-2.62
Rh: 0.6622 0.6622 0.3368  6 Br 2.49-2.62
Br: 0.0151 0.0151 0.2629  2 Rh 2.57, 1 Cu 2.81
Br: 0.3159 0.3159 0.4230  3 Rh 2.52-2.62
Br: 0.3468 0.3468 0.8939  1 Rh 2.49, 2 Cu 2.62
Br: 0.6532 0.6532 0.1061  1 Rh 2.49, 2 Cu 2.62
Br: 0.6841 0.6841 0.5770  3 Rh 2.52-2.62
Br: 0.9849 0.9849 0.7371  2 Rh 2.57, 1 Cu 2.81

Values from the calculation:
Its space group is C2/m (12). Its final energy is -3.4571 eV per atom.



A relaxed Cu2RhBr crystal, computed with GGA-PBE.

Cell lengths 3.2955, 3.2955, 5.8255 Å; angles 90.00, 90.00, 90.00 degrees
Last column: nearest neighbours and their distance in Å.
Fractional coordinates of all 4 atoms:
Cu: 0.0000 0.0000 0.2126  1 Cu 2.48, 4 Rh 2.64
Cu: 0.0000 0.0000 0.7874  1 Cu 2.48, 4 Rh 2.64
Rh: 0.5000 0.5000 0.0000  8 Cu 2.64, 2 Br 2.91
Br: 0.5000 0.5000 0.5000  8 Cu 2.87, 2 Rh 2.91

Values from the calculation:
Its space group is P4/mmm (123). The calculation puts the excess energy over the best structure of this formula in the dataset at 88 meV/atom.



A relaxed CuRhSe2Br crystal, computed with GGA-PBE.

Cell lengths 4.8377, 4.8377, 5.2134 Å; angles 90.00, 90.00, 90.00 degrees
Last column: nearest neighbours and their distance in Å.
Fractional coordinates of all 5 atoms:
Cu: 0.0000 0.0000 0.0000  4 Br 3.42, 8 Se 3.56
Rh: 0.5000 0.5000 0.5000  4 Se 2.42, 2 Br 2.61
Se: 0.0000 0.5000 0.5000  2 Rh 2.42
Se: 0.5000 0.0000 0.5000  2 Rh 2.42
Br: 0.5000 0.5000 0.0000  2 Rh 2.61

Values from the calculation:
Its space group is P4/mmm (123). The calculation puts the excess energy over the best structure of this formula in the dataset at 0 meV/atom.



A relaxed Sm6CuRh2Br3 crystal, computed with GGA-PBE.

Cell lengths 7.1036, 7.1036, 8.0753 Å; angles 98.44, 98.44, 120.00 degrees
Last column: nearest neighbours and their distance in Å.
Fractional coordinates of all 12 atoms:
Sm: 0.0939 0.4346 0.8036  2 Rh 2.79, 1 Cu 2.86
Sm: 0.2249 0.2249 0.1965  2 Rh 2.79, 1 Cu 2.86
Sm: 0.4346 0.0939 0.8036  2 Rh 2.79, 1 Cu 2.86
Sm: 0.5654 0.9061 0.1964  2 Rh 2.79, 1 Cu 2.86
Sm: 0.7751 0.7751 0.8035  2 Rh 2.79, 1 Cu 2.86
Sm: 0.9061 0.5654 0.1964  2 Rh 2.79, 1 Cu 2.86
Cu: 0.5000 0.5000 0.0000  6 Sm 2.86
Rh: 0.1666 0.8334 0.0000  6 Sm 2.79
Rh: 0.8334 0.1666 0.0000  6 Sm 2.79
Br: 0.0000 0.0000 0.5000  6 Sm 3.29-3.35
Br: 0.3332 0.6668 0.5000  6 Sm 3.29-3.35
Br: 0.6668 0.3332 0.5000  6 Sm 3.29-3.35

Values from the calculation:
Its space group is C2/m (12). Its final energy is -5.2819 eV per atom.



A relaxed Tl3Cu2RhBr9 crystal, computed with GGA-PBE.

Cell lengths 7.3327, 7.3327, 8.9835 Å; angles 90.00, 90.00, 120.00 degrees
Last column: nearest neighbours and their distance in Å.
Fractional coordinates of all 15 atoms:
Tl: 0.0000 0.0000 0.0000  12 Br 3.67
Tl: 0.3333 0.6667 0.6617  12 Br 3.63-3.70
Tl: 0.6667 0.3333 0.3383  12 Br 3.63-3.70
Cu: 0.3333 0.6667 0.1520  6 Br 2.52-2.72
Cu: 0.6667 0.3333 0.8480  6 Br 2.52-2.72
Rh: 0.0000 0.0000 0.5000  6 Br 2.54
Br: 0.0000 0.5000 0.0000  2 Cu 2.52
Br: 0.1636 0.3271 0.3373  1 Rh 2.54, 1 Cu 2.72
Br: 0.1636 0.8364 0.3373  1 Rh 2.54, 1 Cu 2.72
Br: 0.3271 0.1636 0.6627  1 Rh 2.54, 1 Cu 2.72
Br: 0.5000 0.0000 0.0000  2 Cu 2.52
Br: 0.5000 0.5000 0.0000  2 Cu 2.52
Br: 0.6729 0.8364 0.3373  1 Rh 2.54, 1 Cu 2.72
Br: 0.8364 0.1636 0.6627  1 Rh 2.54, 1 Cu 2.72
Br: 0.8364 0.6729 0.6627  1 Rh 2.54, 1 Cu 2.72

Values from the calculation:
Its space group is P-3m1 (164). Its final energy is -2.9967 eV per atom.



A relaxed ZrCu2RhBr crystal, computed with GGA-PBE.

Cell lengths 4.6420, 4.6420, 4.7571 Å; angles 90.00, 90.00, 90.00 degrees
Last column: nearest neighbours and their distance in Å.
Fractional coordinates of all 5 atoms:
Zr: 0.0000 0.0000 0.0000  4 Br 3.28, 8 Cu 3.32
Cu: 0.0000 0.5000 0.5000  2 Rh 2.32
Cu: 0.5000 0.0000 0.5000  2 Rh 2.32
Rh: 0.5000 0.5000 0.5000  4 Cu 2.32, 2 Br 2.38
Br: 0.5000 0.5000 0.0000  2 Rh 2.38

Values from the calculation:
Its space group is P4/mmm (123). Its final energy is -4.3721 eV per atom.



A relaxed CuRu4Br crystal, computed with GGA-PBE.

Cell lengths 5.1751, 5.1751, 5.1751 Å; angles 60.00, 60.00, 60.00 degrees
Last column: nearest neighbours and their distance in Å.
Fractional coordinates of all 6 atoms:
Cu: 0.0000 0.0000 0.0000  12 Ru 3.04, 4 Br 3.17
Ru: 0.1261 0.6246 0.6246  6 Ru 2.58-2.60
Ru: 0.6246 0.1261 0.6246  6 Ru 2.58-2.60
Ru: 0.6246 0.6246 0.1261  6 Ru 2.58-2.60
Ru: 0.6246 0.6246 0.6246  6 Ru 2.58-2.60
Br: 0.2500 0.2500 0.2500  12 Ru 3.03, 4 Cu 3.17

Values from the calculation:
Its space group is F-43m (216). Its final energy is -6.0667 eV per atom.